Below is a relaxed ZnGaSeI2 crystal, with properties calculated at the GGA-PBE level.

Summary:
- VASP energy: -1.8205 eV per atom

Unit cell a=5.8967 b=5.8967 c=4.8620 alpha=90.00 beta=90.00 gamma=90.00
Last column: nearest neighbours and their distance in Å.
Fractional coordinates of all 5 atoms:
Zn  0.0000  0.0000  0.0000  2 Ga 2.43
Ga  0.0000  0.0000  0.5000  2 Zn 2.43
Se  0.5000  0.5000  0.0000  8 I 3.82, 4 Zn 4.17
I  0.0000  0.5000  0.5000  2 Ga 2.95
I  0.5000  0.0000  0.5000  2 Ga 2.95